Entry 1:
First-principles (PBE) data for an optimized crystal structure of NaLa2InCo, as listed in Alexandria.

Cell: 5.346 5.346 5.134 Å, 90.00 90.00 90.00°
Space group P4/mmm (No. 123)
Unique sites:
Na (0.000, 0.000, 0.000) x1
La (0.000, 0.500, 0.500) x2
In (0.500, 0.500, 0.000) x1
Co (0.500, 0.500, 0.500) x1

Output
Energy relative to the elements: -165.3 meV/atom
Magnetization: 0.0 μB/cell

---

Entry 2:
First-principles (PBE) data for an optimized crystal structure of NaLaIn2Co, as listed in Alexandria.

Cell: 5.152 5.152 4.986 Å, 90.00 90.00 90.00°
Space group P4/mmm (No. 123)
Unique sites:
Na (0.000, 0.000, 0.000) x1
La (0.500, 0.500, 0.000) x1
In (0.000, 0.500, 0.500) x2
Co (0.500, 0.500, 0.500) x1

Output
Energy relative to the elements: -237.6 meV/atom
Magnetization: 0.0 μB/cell

---

Entry 3:
First-principles (PBE) data for an optimized crystal structure of La4Nd2In2Co, as listed in Alexandria.

Cell: 7.167 7.167 10.537 Å, 90.00 90.00 90.00°
Space group I4/mmm (No. 139)
Unique sites:
La (0.239, 0.239, 0.000) x8
Nd (0.000, 0.500, 0.250) x4
In (0.000, 0.000, 0.246) x4
Co (0.000, 0.000, 0.500) x2

Output
Energy relative to the elements: -213.9 meV/atom
Magnetization: 0.0 μB/cell

---

Volume list, top to bottom, in Å³/cell: 147, 132, 541